(1)
Density functional theory data (GGA-PBE) for a geometry-optimized TcHgTe2N structure.

```
TcHgTe2N
1.0
-1.602 0.463 5.490
5.342 -1.266 1.666
0.952 3.942 -0.055
N Te Hg Tc
1 2 1 1
Direct
0.000 0.000 0.500 N
0.000 0.500 0.000 Te
0.500 0.000 0.000 Te
0.000 0.000 0.000 Hg
0.500 0.500 0.500 Tc
```

Summary:
ΔE_f (raw) = 1.7178 eV/atom
ρ = 7.1 g cm⁻³
Total moment = 5.7 μB/f.u.
Energy above the most stable polymorph in this dataset = 1456 meV per atom

(2)
Density functional theory data (GGA-PBE) for a geometry-optimized CuIrSe2 structure.

```
CuIrSe2
1.0
-1.405 -3.647 -4.206
-0.546 -4.227 3.848
-5.975 -2.726 0.441
Ir Cu Se
2 2 4
Direct
0.000 0.000 0.000 Ir
0.750 0.250 0.500 Ir
0.500 0.500 0.000 Cu
0.250 0.750 0.500 Cu
0.626 0.125 0.250 Se
0.124 0.625 0.250 Se
0.375 0.374 0.750 Se
0.875 0.876 0.750 Se
```

Summary:
ΔE_f (raw) = 0.0513 eV/atom
ρ = 8.0 g cm⁻³
Total moment = 0.0 μB/f.u.

(3)
Density functional theory data (GGA-PBE) for a geometry-optimized HfTi4O structure.

```
HfTi4O
1.0
-2.202 -0.311 -4.788
-4.772 -5.273 -0.374
-4.750 2.257 2.037
Hf Ti O
2 8 2
Direct
0.900 0.000 0.250 Hf
0.100 0.000 0.750 Hf
0.692 0.802 0.943 Ti
0.493 0.198 0.557 Ti
0.308 0.198 0.057 Ti
0.507 0.802 0.443 Ti
0.286 0.584 0.154 Ti
0.870 0.416 0.346 Ti
0.714 0.416 0.846 Ti
0.130 0.584 0.654 Ti
0.000 0.500 0.000 O
0.500 0.500 0.500 O
```

Summary:
ΔE_f (raw) = -0.9176 eV/atom
ρ = 6.8 g cm⁻³
Total moment = 0.0 μB/f.u.